Below is SrHo5Tl3 after structural relaxation, with properties calculated at the PBE-GGA level.

a = 9.4034 Å, b = 9.4034 Å, c = 6.8694 Å
α = 90.00°, β = 90.00°, γ = 120.00°
With the nearest neighbours (Å) after each atom.
Space group P6_3/mcm (No. 193)
Unique sites:
Sr  0.0000  0.0000  0.0000  2 Sr 3.43, 6 Tl 3.56, 6 Ho 3.64
Ho  0.0000  0.3410  0.2500  5 Tl 3.08-3.44
Ho  0.3333  0.6667  0.0000  8 Ho 3.43-3.54, 6 Tl 3.58
Tl  0.0000  0.3319  0.7500  5 Ho 3.08-3.44

Calculated values
The value obtained for the total energy is -0.13773 hartree per atom. The density of states at the Fermi level is 7.4 states/eV/f.u. Its total magnetic moment is 0.00 Bohr magnetons per cell.



Below is SrHo2Tm after structural relaxation, with properties calculated at the PBE-GGA level.

a = 3.5744 Å, b = 3.5744 Å, c = 38.0350 Å
α = 90.00°, β = 90.00°, γ = 120.00°
With the nearest neighbours (Å) after each atom.
Space group R-3m (No. 166, hexagonal axes)
Unique sites:
Sr  0.0000  0.0000  0.0000  2 Ho 3.56, 6 Sr 3.57
Ho  0.0000  0.0000  0.0937  3 Tm 3.46, 1 Sr 3.56, 6 Ho 3.57
Tm  0.0000  0.0000  0.5000  6 Ho 3.46, 6 Tm 3.57

Calculated values
The offset from the most stable computed form comes out at 0.30 eV/f.u. The value obtained for the total energy is -0.13203 hartree per atom. The density of states at the Fermi level is 5.5 states/eV/f.u. Its total magnetic moment is 0.00 Bohr magnetons per cell.



Below is SrHoTm2 after structural relaxation, with properties calculated at the PBE-GGA level.

a = 3.6398 Å, b = 3.6398 Å, c = 10.4871 Å
α = 90.00°, β = 90.00°, γ = 90.00°
With the nearest neighbours (Å) after each atom.
Space group P4/mmm (No. 123)
Unique sites:
Sr  0.0000  0.0000  0.0000  4 Sr 3.64, 8 Tm 3.91
Ho  0.0000  0.0000  0.5000  8 Tm 3.45, 4 Ho 3.64
Tm  0.5000  0.5000  0.2811  4 Ho 3.45, 4 Tm 3.64

Calculated values
The offset from the most stable computed form comes out at 0.00 eV/f.u. The value obtained for the total energy is -0.13446 hartree per atom. The density of states at the Fermi level is 5.3 states/eV/f.u. Its total magnetic moment is 0.00 Bohr magnetons per cell.



Below is SrHo2Tm after structural relaxation, with properties calculated at the PBE-GGA level.

a = 3.9718 Å, b = 3.9718 Å, c = 9.2111 Å
α = 90.00°, β = 90.00°, γ = 90.00°
With the nearest neighbours (Å) after each atom.
Space group P4/mmm (No. 123)
Unique sites:
Sr  0.0000  0.0000  0.0000  8 Ho 3.93, 4 Sr 3.97
Ho  0.5000  0.5000  0.2983  4 Tm 3.37, 1 Ho 3.72
Tm  0.0000  0.0000  0.5000  8 Ho 3.37

Calculated values
The offset from the most stable computed form comes out at 0.00 eV/f.u. The value obtained for the total energy is -0.13480 hartree per atom. The density of states at the Fermi level is 6.3 states/eV/f.u. Its total magnetic moment is 0.00 Bohr magnetons per cell.



Below is SrHoTm2 after structural relaxation, with properties calculated at the PBE-GGA level.

a = 3.5658 Å, b = 3.5658 Å, c = 37.9140 Å
α = 90.00°, β = 90.00°, γ = 120.00°
With the nearest neighbours (Å) after each atom.
Space group R-3m (No. 166, hexagonal axes)
Unique sites:
Sr  0.0000  0.0000  0.0000  2 Tm 3.54, 6 Sr 3.57
Ho  0.0000  0.0000  0.5000  6 Tm 3.46, 6 Ho 3.57
Tm  0.0000  0.0000  0.0934  3 Ho 3.46, 1 Sr 3.54, 6 Tm 3.57

Calculated values
The offset from the most stable computed form comes out at 0.41 eV/f.u. The value obtained for the total energy is -0.13068 hartree per atom. The density of states at the Fermi level is 5.2 states/eV/f.u. Its total magnetic moment is 0.00 Bohr magnetons per cell.



Below is SrYHo after structural relaxation, with properties calculated at the PBE-GGA level.

a = 3.7170 Å, b = 3.7170 Å, c = 9.2482 Å
α = 90.00°, β = 90.00°, γ = 120.00°
With the nearest neighbours (Å) after each atom.
Space group P3m1 (No. 156)
Unique sites:
Sr  0.0000  0.0000  0.0000  6 Sr 3.72, 3 Ho 3.90, 3 Y 3.92
Y  0.6667  0.3333  0.3553  3 Ho 3.45, 6 Y 3.72
Ho  0.3333  0.6667  0.6479  3 Y 3.45, 6 Ho 3.72

Calculated values
The offset from the most stable computed form comes out at 0.07 eV/f.u. The value obtained for the total energy is -0.14994 hartree per atom. The density of states at the Fermi level is 5.3 states/eV/f.u. Its total magnetic moment is 0.00 Bohr magnetons per cell.



Below is SrYHo2 after structural relaxation, with properties calculated at the PBE-GGA level.

a = 3.6666 Å, b = 3.6666 Å, c = 10.5817 Å
α = 90.00°, β = 90.00°, γ = 90.00°
With the nearest neighbours (Å) after each atom.
Space group P4/mmm (No. 123)
Unique sites:
Sr  0.0000  0.0000  0.0000  4 Sr 3.67, 8 Ho 3.92
Y  0.0000  0.0000  0.5000  8 Ho 3.50, 4 Y 3.67
Ho  0.5000  0.5000  0.2780  4 Y 3.50, 4 Ho 3.67

Calculated values
The offset from the most stable computed form comes out at 0.00 eV/f.u. The value obtained for the total energy is -0.15404 hartree per atom. The density of states at the Fermi level is 5.7 states/eV/f.u. Its total magnetic moment is 0.00 Bohr magnetons per cell.



Below is SrYHo after structural relaxation, with properties calculated at the PBE-GGA level.

a = 3.7293 Å, b = 3.7293 Å, c = 16.0547 Å
α = 90.00°, β = 90.00°, γ = 90.00°
With the nearest neighbours (Å) after each atom.
Space group I4mm (No. 107)
Unique sites:
Sr  0.0000  0.0000  0.0000  4 Sr 3.73, 4 Ho 3.91, 4 Y 3.93
Y  0.0000  0.0000  0.6817  4 Ho 3.45, 4 Y 3.73
Ho  0.0000  0.0000  0.3206  4 Y 3.45, 4 Ho 3.73

Calculated values
The offset from the most stable computed form comes out at 0.00 eV/f.u. The value obtained for the total energy is -0.15077 hartree per atom. The density of states at the Fermi level is 5.0 states/eV/f.u. Its total magnetic moment is 0.00 Bohr magnetons per cell.



Below is SrYHo2 after structural relaxation, with properties calculated at the PBE-GGA level.

a = 3.6576 Å, b = 3.6576 Å, c = 36.5715 Å
α = 90.00°, β = 90.00°, γ = 120.00°
With the nearest neighbours (Å) after each atom.
Space group R-3m (No. 166, hexagonal axes)
Unique sites:
Sr  0.0000  0.0000  0.0000  6 Sr 3.66, 6 Ho 3.91
Y  0.0000  0.0000  0.5000  6 Ho 3.51, 6 Y 3.66
Ho  0.0000  0.0000  0.2434  3 Y 3.51, 6 Ho 3.66, 3 Sr 3.91

Calculated values
The offset from the most stable computed form comes out at 0.05 eV/f.u. The value obtained for the total energy is -0.15362 hartree per atom. The density of states at the Fermi level is 6.6 states/eV/f.u. Its total magnetic moment is 0.00 Bohr magnetons per cell.



Below is SrYHo2 after structural relaxation, with properties calculated at the PBE-GGA level.

a = 3.6666 Å, b = 3.6666 Å, c = 36.2643 Å
α = 90.00°, β = 90.00°, γ = 120.00°
With the nearest neighbours (Å) after each atom.
Space group R3m (No. 160, hexagonal axes)
Unique sites:
Sr  0.0000  0.0000  0.0000  6 Sr 3.67, 6 Ho 3.86-3.89
Y  0.0000  0.0000  0.8343  6 Ho 3.50-3.52, 6 Y 3.67
Ho  0.0000  0.0000  0.2445  3 Y 3.50, 6 Ho 3.67, 3 Sr 3.86
Ho  0.0000  0.0000  0.4234  3 Y 3.52, 6 Ho 3.67, 3 Sr 3.89

Calculated values
The offset from the most stable computed form comes out at 0.00 eV/f.u. The value obtained for the total energy is -0.15399 hartree per atom. The density of states at the Fermi level is 6.0 states/eV/f.u. Its total magnetic moment is 0.06 Bohr magnetons per cell.



Below is Sr3HoZn4 after structural relaxation, with properties calculated at the PBE-GGA level.

a = 3.7845 Å, b = 3.7845 Å, c = 15.4051 Å
α = 90.00°, β = 90.00°, γ = 90.00°
With the nearest neighbours (Å) after each atom.
Space group P4/mmm (No. 123)
Unique sites:
Sr  0.0000  0.0000  0.0000  8 Zn 3.35
Sr  0.0000  0.0000  0.2622  8 Zn 3.36-3.43, 1 Ho 3.66
Ho  0.0000  0.0000  0.5000  8 Zn 3.07
Zn  0.5000  0.5000  0.1303  8 Sr 3.35-3.36
Zn  0.5000  0.5000  0.4017  1 Zn 3.03, 4 Ho 3.07

Calculated values
The value obtained for the total energy is -0.07538 hartree per atom. The density of states at the Fermi level is 5.6 states/eV/f.u. Its total magnetic moment is 0.00 Bohr magnetons per cell.



Below is SrHoZn17 after structural relaxation, with properties calculated at the PBE-GGA level.

a = 9.0752 Å, b = 9.0752 Å, c = 13.2448 Å
α = 90.00°, β = 90.00°, γ = 120.00°
With the nearest neighbours (Å) after each atom.
Space group R3m (No. 160, hexagonal axes)
Unique sites:
Sr  0.0000  0.0000  0.0000  19 Zn 3.19-3.45
Ho  0.0000  0.0000  0.3279  13 Zn 3.08-3.34
Zn  0.0000  0.0000  0.5603  7 Zn 2.63-2.84
Zn  0.0000  0.0000  0.7588  4 Zn 2.63-2.77
Zn  0.0029  0.5014  0.8156  9 Zn 2.58-2.84
Zn  0.0396  0.3709  0.3297  8 Zn 2.59-2.78
Zn  0.1675  0.3351  0.4965  10 Zn 2.59-2.77
Zn  0.1736  0.3472  0.8436  8 Zn 2.58-2.78

Calculated values
The value obtained for the total energy is -0.06112 hartree per atom. The density of states at the Fermi level is 5.9 states/eV/f.u. Its total magnetic moment is 0.00 Bohr magnetons per cell.